! CuSb2Pd7 | the Alexandria database | PBE | relaxed; values from VASP
&SYSTEM
  ibrav = 0, nat = 10, ntyp = 3
/
ATOMIC_SPECIES
Cu 63.55 Cu.upf
Sb 121.76 Sb.upf
Pd 106.42 Pd.upf
ATOMIC_POSITIONS angstrom
Cu 0.000 0.000 0.000
Sb 0.000 0.000 7.292
Sb 0.000 0.000 14.534
Pd 2.015 0.000 1.890
Pd 2.015 0.000 5.456
Pd 2.015 0.000 9.023
Pd 0.000 0.000 10.913
Pd 0.000 2.015 1.890
Pd 0.000 2.015 5.456
Pd 0.000 2.015 9.023
CELL_PARAMETERS angstrom
-2.015 2.015 10.913
2.015 -2.015 10.913
2.015 2.015 -10.913
! Density: 9.86 g/cm3
! Energy relative to the elements, uncorrected: -2.73 eV per formula unit
! Distance to the lowest polymorph of the same formula: 0.000 eV/atom

! CuSbPd | the Alexandria database | PBE | relaxed; values from VASP
&SYSTEM
  ibrav = 0, nat = 3, ntyp = 3
/
ATOMIC_SPECIES
Cu 63.55 Cu.upf
Sb 121.76 Sb.upf
Pd 106.42 Pd.upf
ATOMIC_POSITIONS angstrom
Cu 0.000 0.000 0.000
Sb 0.000 0.000 2.668
Pd 0.000 0.000 5.422
CELL_PARAMETERS angstrom
-1.764 1.764 4.105
1.764 -1.764 4.105
1.764 1.764 -4.105
! Density: 9.48 g/cm3
! Energy relative to the elements, uncorrected: -0.54 eV per formula unit